1.
Below is Ca2La2Br after structural relaxation, with properties calculated at the PBE-GGA level.

Calculated values
density of states at the Fermi level: 18.4 states/eV per cell
formation energy (no corrections): -0.326 eV per atom
size of the total moment: 0.0 μB/f.u.

```
10
Lattice="7.886 0.000 0.000 0.000 7.886 0.000 0.000 0.000 6.474" Properties=species:S:1:pos:R:3 pbc="T T T"
La 2.786 6.729 0.000
La 5.100 1.157 0.000
La 1.157 2.786 0.000
La 6.729 5.100 0.000
Ca 5.198 6.630 3.237
Ca 6.630 2.687 3.237
Ca 2.687 1.255 3.237
Ca 1.255 5.198 3.237
Br 0.000 0.000 0.000
Br 3.943 3.943 0.000
```

***

2.
Below is Al2RuAu after structural relaxation, with properties calculated at the PBE-GGA level.

Calculated values
DFT formation energy: -0.1033 eV per atom
density of states at the Fermi level: 2.3 states/eV per cell
size of the total moment: 0.0 μB/f.u.

```
4
Lattice="8.741 0.016 0.009 8.248 2.894 0.009 8.248 1.413 2.526" Properties=species:S:1:pos:R:3 pbc="T T T"
Ru 18.771 3.215 1.892
Al 0.109 0.019 0.011
Al 6.301 1.079 0.635
Au 12.674 2.171 1.278
```

***

3.
Below is Hf2Be9Fe after structural relaxation, with properties calculated at the PBE-GGA level.

Calculated values
DFT formation energy: -0.0120 eV per atom
density of states at the Fermi level: 5.5 states/eV per cell
size of the total moment: 1.6 μB/f.u.

```
12
Lattice="-0.919 1.072 4.309 -3.753 -1.596 1.982 2.077 -5.971 4.314" Properties=species:S:1:pos:R:3 pbc="T T T"
Be -3.363 -2.412 4.654
Be -1.488 -1.615 3.665
Be 0.511 -6.131 6.406
Be -1.107 -4.879 6.941
Be -1.298 -3.247 5.303
Be 0.768 -4.082 5.951
Be -3.106 -0.364 4.200
Be -0.648 -5.414 4.789
Be -1.948 -1.080 5.816
Hf -3.141 -2.967 7.225
Hf 0.545 -3.528 3.380
Fe 0.000 0.000 0.000
```

***

4.
Below is Sr5Li4Tl4 after structural relaxation, with properties calculated at the PBE-GGA level.

Calculated values
DFT formation energy: -0.2575 eV per atom
density of states at the Fermi level: 14.7 states/eV per cell
size of the total moment: 0.0 μB/f.u.

```
13
Lattice="4.249 0.000 1.080 2.125 9.773 0.540 -0.284 0.000 10.012" Properties=species:S:1:pos:R:3 pbc="T T T"
Li 4.773 5.112 7.917
Li 2.990 3.276 6.035
Li 3.101 6.497 5.597
Li 1.317 4.661 3.715
Sr 4.045 6.387 1.883
Sr 2.045 3.386 9.749
Sr 0.000 0.000 0.000
Sr 4.800 8.945 7.811
Sr 1.290 0.828 3.821
Tl 5.614 7.826 4.611
Tl 2.321 6.687 8.665
Tl 0.477 1.947 7.021
Tl 3.770 3.085 2.967
```

***

5.
Below is KTmPbBr6 after structural relaxation, with properties calculated at the PBE-GGA level.

Calculated values
density of states at the Fermi level: 0.0 states/eV per cell
formation energy (no corrections): -1.548 eV per atom
size of the total moment: 0.0 μB/f.u.

```
18
Lattice="7.592 0.000 0.000 -3.796 6.575 0.000 0.000 0.000 14.238" Properties=species:S:1:pos:R:3 pbc="T T T"
Tm 3.796 2.192 3.560
Tm 0.000 4.383 10.679
Br -1.032 6.394 9.057
Br 4.828 0.181 5.181
Br -1.226 2.484 9.057
Br 1.226 2.484 12.301
Br 1.539 2.304 5.181
Br 6.054 2.304 1.938
Br -2.257 4.272 12.301
Br 1.032 6.394 12.301
Br 2.571 4.091 1.938
Br 2.257 4.272 9.057
Br 2.764 0.181 1.938
Br 5.022 4.091 5.181
K 0.000 0.000 7.119
K 0.000 0.000 0.000
Pb 0.000 4.383 3.560
Pb 3.796 2.192 10.679
```

***

6.
Below is Nb6Ga3Cu after structural relaxation, with properties calculated at the PBE-GGA level.

Calculated values
DFT formation energy: 0.0853 eV per atom
density of states at the Fermi level: 14.7 states/eV per cell
size of the total moment: 0.0 μB/f.u.

```
20
Lattice="-0.607 4.976 -2.559 -8.353 -0.576 0.861 4.233 3.729 6.247" Properties=species:S:1:pos:R:3 pbc="T T T"
Nb -2.011 5.298 3.721
Nb -6.396 2.858 2.961
Nb 3.630 7.762 4.108
Nb 1.129 5.433 3.692
Nb -8.439 1.042 0.094
Nb -0.658 4.262 1.387
Nb -5.594 0.541 1.965
Nb -3.850 2.077 4.083
Nb -2.498 1.041 1.750
Nb -0.313 7.531 4.414
Nb -4.514 1.417 -0.286
Nb 1.569 6.090 1.167
Ga -4.299 4.138 1.120
Ga -0.297 2.915 3.983
Ga 0.122 1.348 1.929
Ga -2.348 3.095 -0.278
Ga -4.611 4.826 3.626
Ga -2.140 3.079 5.832
Cu -6.637 3.022 0.260
Cu 2.115 3.424 5.155
```

***

7.
Below is BeRu2Pt after structural relaxation, with properties calculated at the PBE-GGA level.

Calculated values
DFT formation energy: -0.1053 eV per atom
density of states at the Fermi level: 3.9 states/eV per cell
size of the total moment: 0.0 μB/f.u.

```
4
Lattice="-2.228 -2.794 1.405 2.214 -1.279 0.968 0.665 1.903 4.838" Properties=species:S:1:pos:R:3 pbc="T T T"
Pt 0.638 -0.736 4.795
Be 1.865 0.021 3.000
Ru -0.263 -1.287 2.271
Ru 2.065 -1.137 1.016
```

***

8.
Below is TlIrPbCl6 after structural relaxation, with properties calculated at the PBE-GGA level.

Calculated values
formation energy (no corrections): -0.815 eV per atom
size of the total moment: 0.0 μB/f.u.

```
18
Lattice="7.092 0.000 0.000 -3.546 6.142 0.000 0.000 0.000 13.031" Properties=species:S:1:pos:R:3 pbc="T T T"
Cl 1.624 2.094 4.651
Cl 4.547 3.689 4.651
Cl 4.467 0.359 4.651
Cl 1.001 2.453 11.166
Cl 1.922 4.049 8.380
Cl 2.625 0.359 1.865
Cl -1.001 2.453 8.380
Cl 0.921 5.783 11.166
Cl 5.469 2.094 1.865
Cl -1.922 4.049 11.166
Cl 2.545 3.689 1.865
Cl -0.921 5.783 8.380
Pb 0.000 4.095 3.258
Pb 3.546 2.047 9.773
Ir 0.000 4.095 9.773
Ir 3.546 2.047 3.258
Tl 0.000 0.000 0.000
Tl 0.000 0.000 6.515
```

***

9.
Below is CdP2Os after structural relaxation, with properties calculated at the PBE-GGA level.

Calculated values
DFT formation energy: 0.0980 eV per atom
density of states at the Fermi level: 1.2 states/eV per cell
size of the total moment: 0.0 μB/f.u.

```
4
Lattice="-7.001 -0.726 -6.504 -4.686 -0.734 -8.328 -5.586 -3.247 -7.078" Properties=species:S:1:pos:R:3 pbc="T T T"
P -0.359 -0.098 -0.456
P -8.277 -2.256 -10.500
Cd -4.318 -1.177 -5.478
Os -12.955 -3.530 -16.433
```

***

10.
Below is K2NaSn2 after structural relaxation, with properties calculated at the PBE-GGA level.

Calculated values
DFT formation energy: -0.1324 eV per atom
density of states at the Fermi level: 5.3 states/eV per cell
size of the total moment: 0.0 μB/f.u.

```
10
Lattice="7.006 -0.002 0.000 -3.505 6.280 0.276 0.000 -2.384 9.201" Properties=species:S:1:pos:R:3 pbc="T T T"
K 4.638 0.308 5.912
K 1.134 2.393 8.164
K -1.137 3.585 3.564
K 2.367 1.501 1.312
Na -2.785 4.491 7.177
Na 6.286 -0.597 2.300
Sn 2.299 3.198 4.792
Sn -2.302 2.007 9.393
Sn 1.202 0.695 4.684
Sn 5.803 1.887 0.083
```

***

11.
Below is RbCuSb2Te after structural relaxation, with properties calculated at the PBE-GGA level.

Calculated values
density of states at the Fermi level: 3.2 states/eV per cell
formation energy (no corrections): 0.049 eV per atom
size of the total moment: 0.0 μB/f.u.

```
5
Lattice="-4.279 0.211 2.957 -0.421 -5.183 -0.238 3.193 -0.473 4.654" Properties=species:S:1:pos:R:3 pbc="T T T"
Te 1.596 -0.236 2.327
Rb -0.753 -2.722 3.686
Sb -0.210 -2.591 -0.119
Sb -2.139 0.106 1.478
Cu 0.000 0.000 0.000
```

***

12.
Below is CrSbAu2 after structural relaxation, with properties calculated at the PBE-GGA level.

Calculated values
density of states at the Fermi level: 17.9 states/eV per cell
formation energy (no corrections): 0.475 eV per atom
size of the total moment: 0.3 μB/f.u.

```
8
Lattice="7.626 0.000 0.000 0.000 7.626 0.000 3.813 3.813 2.675" Properties=species:S:1:pos:R:3 pbc="T T T"
Au 9.533 9.380 2.006
Au 5.720 5.872 2.006
Au 2.059 5.720 0.669
Au 5.567 1.907 0.669
Cr 3.813 3.813 0.000
Cr 3.813 7.626 1.338
Sb 0.000 0.000 0.000
Sb 7.626 3.813 1.338
```